Density functional theory data (PBE-GGA) for a relaxed structure of Nb4AlGaC2.

Results
* calculated total energy: -8.714 eV/atom
* total moment: 0.00 μB/f.u.

a b c (Å): 3.1375 3.1375 13.8073
angles (deg): 90.00 90.00 120.00
Space group P-6m2 (No. 187)
Asymmetric unit:
1 Nb 0.0000 0.0000 0.1592 [2 per cell]
2 Nb 0.6667 0.3333 0.3388 [2 per cell]
3 Al 0.0000 0.0000 0.5000 [1 per cell]
4 Ga 0.6667 0.3333 0.0000 [1 per cell]
5 C 0.3333 0.6667 0.2491 [2 per cell]